Record 1
Below is a relaxed structure of Pm2TlCo, with properties calculated at the GGA-PBE level.

Output
* calculated volume: 126.1 Å³ per cell
* SG: R-3m, No. 166
* formation energy from the elements: 0.0149 eV/atom
* density of states at the Fermi level: 0.30 states/eV per atom

a b c (Å): 3.865 3.865 9.996
angles (deg): 78.85 78.85 60.00
Fractional positions:
Tl 0.000 0.000 0.000
Co 0.500 0.500 0.500
Pm 0.115 0.115 0.656
Pm 0.885 0.885 0.344


Record 2
Below is a relaxed structure of CdIn2As, with properties calculated at the GGA-PBE level.

Output
* energy above the most stable polymorph in this dataset: 0.00 eV/f.u.
* calculated volume: 108.1 Å³ per cell
* SG: Cm, No. 8
* formation energy from the elements: 0.0041 eV/atom
* density of states at the Fermi level: 0.24 states/eV per atom

a b c (Å): 4.125 4.125 7.688
angles (deg): 74.64 74.64 60.22
Fractional positions:
Cd 0.499 0.499 0.500
In 0.073 0.073 0.783
In 0.262 0.262 0.214
As 0.666 0.666 0.003


Record 3
Below is a relaxed structure of Nb4ReTc, with properties calculated at the GGA-PBE level.

Output
* calculated volume: 119.8 Å³ per cell
* SG: C2/m, No. 12
* formation energy from the elements: 0.3493 eV/atom
* density of states at the Fermi level: 0.82 states/eV per atom

a b c (Å): 4.369 4.370 6.276
angles (deg): 89.93 89.96 90.00
Fractional positions:
Nb 0.501 0.997 0.248
Nb 0.501 0.998 0.748
Nb 0.001 0.497 0.748
Nb 0.001 0.497 0.249
Re 0.501 0.497 0.998
Tc 0.001 0.997 0.498


Record 4
Below is a relaxed structure of Al6FeAg, with properties calculated at the GGA-PBE level.

Output
* calculated volume: 133.0 Å³ per cell
* SG: R-3m, No. 166
* formation energy from the elements: 0.0680 eV/atom
* density of states at the Fermi level: 0.41 states/eV per atom

a b c (Å): 5.410 6.460 5.410
angles (deg): 53.34 73.33 61.29
Fractional positions:
Al 0.766 0.693 0.541
Al 0.766 0.234 0.459
Al 0.234 0.766 0.541
Al 0.234 0.307 0.459
Al 0.693 0.766 0.000
Al 0.307 0.234 0.000
Fe 0.500 0.500 0.000
Ag 0.000 0.000 0.000


Record 5
Below is a relaxed structure of Zn4GaAg2, with properties calculated at the GGA-PBE level.

Output
* energy above the most stable polymorph in this dataset: 0.00 eV/f.u.
* calculated volume: 117.9 Å³ per cell
* SG: P-1, No. 2
* formation energy from the elements: 0.0209 eV/atom
* density of states at the Fermi level: 0.17 states/eV per atom

a b c (Å): 4.917 8.165 5.177
angles (deg): 139.10 116.63 78.73
Fractional positions:
Zn 0.524 0.268 0.332
Zn 0.476 0.732 0.668
Zn 0.066 0.270 0.793
Zn 0.934 0.730 0.207
Ga 0.000 0.000 0.000
Ag 0.000 0.500 0.500
Ag 0.500 0.000 0.500


Record 6
Below is a relaxed structure of Sn2AuBr, with properties calculated at the GGA-PBE level.

Output
* energy above the most stable polymorph in this dataset: 0.07 eV/f.u.
* calculated volume: 110.9 Å³ per cell
* energy relative to the elements, uncorrected: -0.23 eV/atom
* SG: R3m, No. 160
* density of states at the Fermi level: 0.37 states/eV per atom

a b c (Å): 3.952 3.952 8.512
angles (deg): 76.58 76.58 60.00
Fractional positions:
Sn 0.072 0.072 0.784
Sn 0.265 0.265 0.206
Au 0.669 0.669 0.994
Br 0.495 0.495 0.515


Record 7
Below is a relaxed structure of Cr2MoPt2, with properties calculated at the GGA-PBE level.

Output
* energy above the most stable polymorph in this dataset: 0.91 eV/f.u.
* calculated volume: 75.1 Å³ per cell
* SG: I4/mmm, No. 139
* formation energy from the elements: 0.2460 eV/atom
* density of states at the Fermi level: 1.05 states/eV per atom

a b c (Å): 3.388 3.388 6.967
angles (deg): 75.93 75.93 90.00
Fractional positions:
Cr 0.750 0.250 0.500
Cr 0.250 0.750 0.500
Mo 0.000 0.000 0.000
Pt 0.400 0.400 0.201
Pt 0.600 0.600 0.799


Record 8
Below is a relaxed structure of Ce3TcGe4, with properties calculated at the GGA-PBE level.

Output
* calculated volume: 173.5 Å³ per cell
* SG: Cmmm, No. 65
* formation energy from the elements: -0.5662 eV/atom
* density of states at the Fermi level: 1.69 states/eV per atom

a b c (Å): 4.482 3.905 10.885
angles (deg): 111.02 101.88 90.00
Fractional positions:
Ce 0.000 0.500 0.000
Ce 0.157 0.314 0.314
Ce 0.843 0.686 0.686
Tc 0.500 0.000 0.000
Ge 0.405 0.311 0.811
Ge 0.595 0.689 0.189
Ge 0.721 0.943 0.443
Ge 0.279 0.057 0.557


Record 9
Below is a relaxed structure of BiOsO5, with properties calculated at the GGA-PBE level.

Output
* energy above the most stable polymorph in this dataset: 0.00 eV/f.u.
* calculated volume: 206.3 Å³ per cell
* energy relative to the elements, uncorrected: -1.03 eV/atom
* SG: C2/c, No. 15
* density of states at the Fermi level: 0.10 states/eV per atom

a b c (Å): 5.625 5.625 7.567
angles (deg): 70.33 70.33 71.14
Fractional positions:
Bi 0.539 0.461 0.250
Bi 0.461 0.539 0.750
Os 0.000 0.000 0.000
Os 0.000 0.000 0.500
O 0.793 0.775 0.110
O 0.288 0.698 0.469
O 0.775 0.793 0.610
O 0.924 0.076 0.250
O 0.302 0.712 0.031
O 0.698 0.288 0.969
O 0.076 0.924 0.750
O 0.225 0.207 0.390
O 0.712 0.302 0.531
O 0.207 0.225 0.890


Record 10
Below is a relaxed structure of InHPd2, with properties calculated at the GGA-PBE level.

Output
* energy above the most stable polymorph in this dataset: 2.02 eV/f.u.
* calculated volume: 60.0 Å³ per cell
* SG: Fm-3m, No. 225
* density of states at the Fermi level: 0.54 states/eV per atom

a b c (Å): 4.395 4.395 4.395
angles (deg): 60.00 60.00 60.00
Fractional positions:
H 0.000 0.000 0.000
Pd 0.250 0.250 0.250
Pd 0.750 0.750 0.750
In 0.500 0.500 0.500


Record 11
Below is a relaxed structure of Ba5Ag2Au5, with properties calculated at the GGA-PBE level.

Output
* calculated volume: 388.5 Å³ per cell
* SG: C2/m, No. 12
* formation energy from the elements: -0.5880 eV/atom
* density of states at the Fermi level: 0.48 states/eV per atom

a b c (Å): 4.657 8.907 9.979
angles (deg): 87.56 76.51 74.85
Fractional positions:
Ba 0.000 0.500 0.500
Ba 0.687 0.709 0.917
Ba 0.376 0.927 0.320
Ba 0.624 0.073 0.680
Ba 0.313 0.291 0.083
Ag 0.384 0.470 0.761
Ag 0.616 0.530 0.239
Au 0.706 0.228 0.360
Au 0.934 0.299 0.833
Au 0.066 0.701 0.167
Au 0.294 0.772 0.640
Au 0.000 0.000 0.000


Record 12
Below is a relaxed structure of Dy3ThSc2, with properties calculated at the GGA-PBE level.

Output
* energy above the most stable polymorph in this dataset: 1.68 eV/f.u.
* calculated volume: 736.1 Å³ per cell
* SG: P4_132, No. 213
* formation energy from the elements: 0.3517 eV/atom
* density of states at the Fermi level: 1.67 states/eV per atom

a b c (Å): 9.029 9.029 9.029
angles (deg): 90.00 90.00 90.00
Fractional positions:
Dy 0.625 0.384 0.634
Dy 0.616 0.134 0.875
Dy 0.634 0.625 0.384
Dy 0.866 0.375 0.884
Dy 0.384 0.634 0.625
Dy 0.366 0.125 0.116
Dy 0.134 0.875 0.616
Dy 0.884 0.866 0.375
Dy 0.116 0.366 0.125
Dy 0.875 0.616 0.134
Dy 0.375 0.884 0.866
Dy 0.125 0.116 0.366
Th 0.875 0.125 0.625
Th 0.125 0.625 0.875
Th 0.625 0.875 0.125
Th 0.375 0.375 0.375
Sc 0.488 0.512 0.012
Sc 0.762 0.762 0.762
Sc 0.012 0.488 0.512
Sc 0.512 0.012 0.488
Sc 0.262 0.738 0.238
Sc 0.738 0.238 0.262
Sc 0.238 0.262 0.738
Sc 0.988 0.988 0.988


Record 13
Below is a relaxed structure of InAg2Pt, with properties calculated at the GGA-PBE level.

Output
* calculated volume: 156.3 Å³ per cell
* SG: I-42d, No. 122
* formation energy from the elements: -0.0124 eV/atom
* density of states at the Fermi level: 0.32 states/eV per atom

a b c (Å): 3.923 3.923 10.532
angles (deg): 79.27 79.27 90.00
Fractional positions:
Ag 0.632 0.125 0.250
Ag 0.118 0.625 0.250
Ag 0.375 0.368 0.750
Ag 0.875 0.882 0.750
Pt 0.000 0.000 0.000
Pt 0.750 0.250 0.500
In 0.500 0.500 0.000
In 0.250 0.750 0.500


Record 14
Below is a relaxed structure of NbAg2HgS4, with properties calculated at the GGA-PBE level.

Output
* calculated volume: 200.1 Å³ per cell
* energy relative to the elements, uncorrected: -0.35 eV/atom
* SG: Fmm2, No. 42
* density of states at the Fermi level: 0.27 states/eV per atom

a b c (Å): 6.056 6.056 6.935
angles (deg): 115.86 115.86 90.05
Fractional positions:
Nb 0.500 0.500 0.000
Ag 0.750 0.250 0.500
Ag 0.250 0.750 0.500
Hg 0.001 0.001 0.001
S 0.600 0.600 0.755
S 0.400 0.844 0.244
S 0.844 0.400 0.244
S 0.155 0.155 0.755


Record 15
Below is a relaxed structure of TcNi2MoH, with properties calculated at the GGA-PBE level.

Output
* energy above the most stable polymorph in this dataset: 0.12 eV/f.u.
* calculated volume: 54.1 Å³ per cell
* SG: P4/mmm, No. 123
* density of states at the Fermi level: 1.24 states/eV per atom

a b c (Å): 3.664 3.664 4.033
angles (deg): 90.00 90.00 90.00
Fractional positions:
Ni 0.000 0.500 0.000
Ni 0.500 0.000 0.000
Mo 0.000 0.000 0.500
Tc 0.500 0.500 0.500
H 0.000 0.000 0.000


Record 16
Below is a relaxed structure of YH2PdW, with properties calculated at the GGA-PBE level.

Output
* calculated volume: 83.0 Å³ per cell
* final energy: -27.54 eV for the cell shown
* SG: P4/mmm, No. 123
* density of states at the Fermi level: 0.74 states/eV per atom

a b c (Å): 3.795 5.768 3.795
angles (deg): 90.00 90.00 90.00
Fractional positions:
Y 0.000 0.500 0.000
H 0.000 0.000 0.500
H 0.500 0.000 0.000
Pd 0.500 0.500 0.500
W 0.000 0.000 0.000


Record 17
Below is a relaxed structure of Li2CuPt, with properties calculated at the GGA-PBE level.

Output
* energy above the most stable polymorph in this dataset: 0.29 eV/f.u.
* calculated volume: 55.4 Å³ per cell
* SG: Pmm2, No. 25
* formation energy from the elements: -0.3086 eV/atom
* density of states at the Fermi level: 0.40 states/eV per atom

a b c (Å): 2.687 3.978 5.181
angles (deg): 90.00 90.00 90.00
Fractional positions:
Cu 0.500 0.500 0.737
Li 0.000 0.000 0.995
Li 0.500 0.500 0.265
Pt 0.000 0.000 0.503


Record 18
Below is a relaxed structure of Ba6CdPt2Br3, with properties calculated at the GGA-PBE level.

Output
* calculated volume: 476.6 Å³ per cell
* energy relative to the elements, uncorrected: -1.15 eV/atom
* SG: C2/m, No. 12
* density of states at the Fermi level: 0.74 states/eV per atom

a b c (Å): 4.635 10.055 11.050
angles (deg): 108.38 102.11 90.00
Fractional positions:
Ba 0.332 0.886 0.665
Ba 0.678 0.559 0.356
Ba 0.668 0.114 0.335
Ba 0.013 0.256 0.025
Ba 0.987 0.744 0.975
Ba 0.322 0.441 0.644
Cd 0.500 0.000 0.000
Pt 0.833 0.668 0.666
Pt 0.167 0.332 0.334
Br 0.500 0.500 0.000
Br 0.834 0.172 0.669
Br 0.166 0.828 0.331


Record 19
Below is a relaxed structure of Ho2GeCl, with properties calculated at the GGA-PBE level.

Output
* energy above the most stable polymorph in this dataset: 0.00 eV/f.u.
* calculated volume: 97.3 Å³ per cell
* energy relative to the elements, uncorrected: -1.16 eV/atom
* SG: R-3m, No. 166
* density of states at the Fermi level: 0.51 states/eV per atom

a b c (Å): 4.158 4.158 6.930
angles (deg): 72.54 72.54 60.00
Fractional positions:
Ge 0.000 0.000 0.000
Ho 0.258 0.258 0.225
Ho 0.742 0.742 0.775
Cl 0.500 0.500 0.500


Record 20
Below is a relaxed structure of Er5ZnIn4, with properties calculated at the GGA-PBE level.

Output
* calculated volume: 252.0 Å³ per cell
* SG: P4/mmm, No. 123
* formation energy from the elements: -0.4360 eV/atom
* density of states at the Fermi level: 0.68 states/eV per atom

a b c (Å): 3.573 3.573 19.733
angles (deg): 90.00 90.00 90.00
Fractional positions:
Er 0.500 0.500 0.086
Er 0.500 0.500 0.292
Er 0.500 0.500 0.500
Er 0.500 0.500 0.708
Er 0.500 0.500 0.914
Zn 0.000 0.000 0.000
In 0.000 0.000 0.189
In 0.000 0.000 0.396
In 0.000 0.000 0.604
In 0.000 0.000 0.811